Compound: NdTm4Se6
Source: Alexandria via LeMat-Bulk
Functional: PBE
Structure: optimized geometry

a b c (Å): 6.911 6.911 20.607
angles (deg): 90.00 90.00 146.42
Positions (direct):
Nd 0.153 0.847 0.750
Nd 0.847 0.153 0.250
Tm 0.091 0.909 0.125
Tm 0.091 0.909 0.375
Tm 0.360 0.640 0.038
Tm 0.360 0.640 0.462
Tm 0.640 0.360 0.538
Tm 0.640 0.360 0.962
Tm 0.909 0.091 0.625
Tm 0.909 0.091 0.875
Se 0.000 0.000 0.000
Se 0.000 0.000 0.500
Se 0.181 0.819 0.250
Se 0.267 0.733 0.590
Se 0.267 0.733 0.910
Se 0.452 0.548 0.163
Se 0.452 0.548 0.337
Se 0.548 0.452 0.663
Se 0.548 0.452 0.837
Se 0.733 0.267 0.090
Se 0.733 0.267 0.410
Se 0.819 0.181 0.750

**E_form (uncorrected)**: -19.7 eV per formula unit
**SG**: No. 63